Below is crystalline LaPmSn4 at its relaxed geometry, with properties calculated at the PBE level.

As for the volume: 171.8 Å³ per cell. The value obtained for the magnetization is 0.83 μB/f.u. For the offset from the most stable computed form, the calculation gives 0.0 kJ per mole of atoms. For the formation enthalpy at 0 K, the calculation gives -393 meV/atom.

Geometry as CIF:
```
data_LaPmSn4
_cell_length_a 6.239
_cell_length_b 6.239
_cell_length_c 6.239
_cell_angle_alpha 60.00
_cell_angle_beta 60.00
_cell_angle_gamma 60.00
_space_group_name_H-M_alt 'P 1'
_space_group_IT_number 1
_space_group_name_Hall 'P 1'
loop_
_atom_site_label
_atom_site_fract_x
_atom_site_fract_y
_atom_site_fract_z
Sn1 0.625 0.625 0.625
La1 0.000 0.000 0.000
Pm1 0.250 0.250 0.250
Sn2 0.126 0.625 0.625
Sn3 0.625 0.126 0.625
Sn4 0.625 0.625 0.126
```


Below is crystalline La3PmSn at its relaxed geometry, with properties calculated at the PBE level.

As for the volume: 355.5 Å³ per cell. The value obtained for the magnetization is 0.00 μB/f.u. For the offset from the most stable computed form, the calculation gives 47.8 kJ per mole of atoms. For the formation enthalpy at 0 K, the calculation gives 159 meV/atom.

Geometry as CIF:
```
data_La3PmSn
_cell_length_a 5.370
_cell_length_b 8.338
_cell_length_c 8.966
_cell_angle_alpha 117.71
_cell_angle_beta 90.00
_cell_angle_gamma 90.00
_space_group_name_H-M_alt 'P 1'
_space_group_IT_number 1
_space_group_name_Hall 'P 1'
loop_
_atom_site_label
_atom_site_fract_x
_atom_site_fract_y
_atom_site_fract_z
Sn1 0.000 0.635 0.270
La1 0.500 0.677 0.000
La2 0.500 0.500 0.500
La3 0.500 0.323 0.000
Pm1 0.500 0.909 0.818
Pm2 0.500 0.091 0.182
La4 0.000 0.844 0.688
Sn2 0.000 0.365 0.730
La5 0.500 0.000 0.500
La6 0.000 0.156 0.312
```


Below is crystalline LaPm3Sn2 at its relaxed geometry, with properties calculated at the PBE level.

As for the volume: 389.0 Å³ per cell. The value obtained for the magnetization is 0.00 μB/f.u. For the offset from the most stable computed form, the calculation gives 3.1 kJ per mole of atoms. For the formation enthalpy at 0 K, the calculation gives -539 meV/atom.

Geometry as CIF:
```
data_LaPm3Sn2
_cell_length_a 4.722
_cell_length_b 10.553
_cell_length_c 9.786
_cell_angle_alpha 124.04
_cell_angle_beta 90.00
_cell_angle_gamma 102.93
_space_group_name_H-M_alt 'P 1'
_space_group_IT_number 1
_space_group_name_Hall 'P 1'
loop_
_atom_site_label
_atom_site_fract_x
_atom_site_fract_y
_atom_site_fract_z
Pm1 0.354 0.708 0.187
La1 0.116 0.231 0.098
Pm2 0.945 0.891 0.580
Pm3 0.307 0.615 0.502
Sn1 0.491 0.982 0.837
Sn2 0.241 0.482 0.771
Pm4 0.646 0.292 0.813
Pm5 0.693 0.385 0.498
Sn3 0.509 0.018 0.163
Sn4 0.759 0.518 0.229
La2 0.884 0.769 0.902
Pm6 0.055 0.109 0.420
```


Below is crystalline LaPmSn4 at its relaxed geometry, with properties calculated at the PBE level.

As for the volume: 206.6 Å³ per cell. The value obtained for the magnetization is 0.00 μB/f.u. For the offset from the most stable computed form, the calculation gives 15.0 kJ per mole of atoms. For the formation enthalpy at 0 K, the calculation gives -238 meV/atom.

Geometry as CIF:
```
data_LaPmSn4
_cell_length_a 5.244
_cell_length_b 5.243
_cell_length_c 8.599
_cell_angle_alpha 73.09
_cell_angle_beta 73.09
_cell_angle_gamma 69.11
_space_group_name_H-M_alt 'P 1'
_space_group_IT_number 1
_space_group_name_Hall 'P 1'
loop_
_atom_site_label
_atom_site_fract_x
_atom_site_fract_y
_atom_site_fract_z
Pm1 0.000 0.000 0.000
Sn1 0.905 0.905 0.392
Sn2 0.609 0.609 0.093
Sn3 0.095 0.095 0.608
La1 0.500 0.500 0.500
Sn4 0.391 0.391 0.907
```


Below is crystalline La5Pm5Sn6 at its relaxed geometry, with properties calculated at the PBE level.

As for the volume: 525.4 Å³ per cell. The value obtained for the magnetization is 0.00 μB/f.u. For the formation enthalpy at 0 K, the calculation gives -688 meV/atom.

Geometry as CIF:
```
data_La5Pm5Sn6
_cell_length_a 6.883
_cell_length_b 9.396
_cell_length_c 9.396
_cell_angle_alpha 120.16
_cell_angle_beta 90.00
_cell_angle_gamma 90.00
_space_group_name_H-M_alt 'P 1'
_space_group_IT_number 1
_space_group_name_Hall 'P 1'
loop_
_atom_site_label
_atom_site_fract_x
_atom_site_fract_y
_atom_site_fract_z
La1 0.748 0.666 0.334
Pm1 0.500 0.242 0.998
Sn1 0.500 0.611 0.000
La2 0.748 0.334 0.666
Sn2 0.000 0.997 0.392
Sn3 0.500 0.000 0.611
Sn4 0.000 0.613 0.613
Sn5 0.000 0.392 0.997
Sn6 0.500 0.388 0.388
Pm2 0.000 0.758 0.001
La3 0.000 0.240 0.240
Pm3 0.500 0.760 0.760
La4 0.252 0.334 0.666
Pm4 0.000 0.001 0.758
Pm5 0.500 0.998 0.242
La5 0.252 0.666 0.334
```


Below is crystalline La9PmSn2 at its relaxed geometry, with properties calculated at the PBE level.

As for the volume: 400.1 Å³ per cell. The value obtained for the magnetization is 0.00 μB/f.u. For the formation enthalpy at 0 K, the calculation gives -304 meV/atom.

Geometry as CIF:
```
data_La9PmSn2
_cell_length_a 5.074
_cell_length_b 5.074
_cell_length_c 15.538
_cell_angle_alpha 90.00
_cell_angle_beta 90.00
_cell_angle_gamma 90.00
_space_group_name_H-M_alt 'P 1'
_space_group_IT_number 1
_space_group_name_Hall 'P 1'
loop_
_atom_site_label
_atom_site_fract_x
_atom_site_fract_y
_atom_site_fract_z
La1 0.500 0.500 0.340
La2 0.500 0.000 0.176
La3 0.500 0.500 0.000
La4 0.000 0.500 0.176
Sn1 0.000 0.000 0.662
La5 0.500 0.500 0.660
La6 0.500 0.000 0.500
La7 0.000 0.500 0.824
Sn2 0.000 0.000 0.338
Pm1 0.000 0.000 0.000
La8 0.000 0.500 0.500
La9 0.500 0.000 0.824
```


Below is crystalline LaPm4Sn5 at its relaxed geometry, with properties calculated at the PBE level.

As for the volume: 284.4 Å³ per cell. The value obtained for the magnetization is 0.00 μB/f.u. For the formation enthalpy at 0 K, the calculation gives -690 meV/atom.

Geometry as CIF:
```
data_LaPm4Sn5
_cell_length_a 3.535
_cell_length_b 3.535
_cell_length_c 22.756
_cell_angle_alpha 90.00
_cell_angle_beta 90.00
_cell_angle_gamma 90.00
_space_group_name_H-M_alt 'P 1'
_space_group_IT_number 1
_space_group_name_Hall 'P 1'
loop_
_atom_site_label
_atom_site_fract_x
_atom_site_fract_y
_atom_site_fract_z
Pm1 0.000 0.000 0.401
Pm2 0.000 0.000 0.599
La1 0.000 0.000 0.000
Sn1 0.500 0.500 0.103
Sn2 0.500 0.500 0.301
Pm3 0.000 0.000 0.202
Pm4 0.000 0.000 0.798
Sn3 0.500 0.500 0.500
Sn4 0.500 0.500 0.897
Sn5 0.500 0.500 0.699
```


Below is crystalline La3Pm2Sn2 at its relaxed geometry, with properties calculated at the PBE level.

As for the volume: 229.7 Å³ per cell. The value obtained for the magnetization is 0.00 μB/f.u. For the formation enthalpy at 0 K, the calculation gives -324 meV/atom.

Geometry as CIF:
```
data_La3Pm2Sn2
_cell_length_a 3.605
_cell_length_b 8.271
_cell_length_c 9.056
_cell_angle_alpha 119.12
_cell_angle_beta 101.48
_cell_angle_gamma 90.00
_space_group_name_H-M_alt 'P 1'
_space_group_IT_number 1
_space_group_name_Hall 'P 1'
loop_
_atom_site_label
_atom_site_fract_x
_atom_site_fract_y
_atom_site_fract_z
Sn1 0.420 0.108 0.840
Pm1 0.890 0.751 0.780
La1 0.000 0.500 0.000
La2 0.210 0.771 0.419
Pm2 0.110 0.249 0.220
Sn2 0.580 0.892 0.160
La3 0.790 0.229 0.581
```


Below is crystalline La2Pm2Sn7 at its relaxed geometry, with properties calculated at the PBE level.

As for the volume: 373.9 Å³ per cell. The value obtained for the magnetization is 0.00 μB/f.u. For the formation enthalpy at 0 K, the calculation gives -231 meV/atom.

Geometry as CIF:
```
data_La2Pm2Sn7
_cell_length_a 7.392
_cell_length_b 6.946
_cell_length_c 7.392
_cell_angle_alpha 90.06
_cell_angle_beta 99.91
_cell_angle_gamma 89.94
_space_group_name_H-M_alt 'P 1'
_space_group_IT_number 1
_space_group_name_Hall 'P 1'
loop_
_atom_site_label
_atom_site_fract_x
_atom_site_fract_y
_atom_site_fract_z
Sn1 0.500 0.294 0.500
Sn2 0.500 0.709 0.000
La1 0.816 0.500 0.816
Sn3 0.000 0.291 0.500
Pm1 0.275 0.000 0.725
Sn4 0.000 0.709 0.500
Sn5 0.500 0.291 0.000
Pm2 0.725 0.000 0.275
La2 0.184 0.500 0.184
Sn6 0.500 0.706 0.500
Sn7 0.000 0.000 0.000
```


Below is crystalline La2Pm3Sn3 at its relaxed geometry, with properties calculated at the PBE level.

As for the volume: 520.7 Å³ per cell. The value obtained for the magnetization is 0.00 μB/f.u. For the formation enthalpy at 0 K, the calculation gives -687 meV/atom.

Geometry as CIF:
```
data_La2Pm3Sn3
_cell_length_a 6.862
_cell_length_b 9.361
_cell_length_c 9.361
_cell_angle_alpha 120.00
_cell_angle_beta 90.00
_cell_angle_gamma 90.00
_space_group_name_H-M_alt 'P 1'
_space_group_IT_number 1
_space_group_name_Hall 'P 1'
loop_
_atom_site_label
_atom_site_fract_x
_atom_site_fract_y
_atom_site_fract_z
Pm1 0.750 0.000 0.241
Sn1 0.750 0.390 0.390
Sn2 0.750 0.610 0.000
Pm2 0.250 0.241 0.241
Sn3 0.250 0.390 0.000
La1 0.500 0.333 0.667
Pm3 0.250 0.000 0.759
Sn4 0.750 0.000 0.610
La2 0.500 0.667 0.333
Pm4 0.750 0.759 0.759
La3 0.000 0.333 0.667
Pm5 0.750 0.241 0.000
Sn5 0.250 0.000 0.390
Pm6 0.250 0.759 0.000
Sn6 0.250 0.610 0.610
La4 0.000 0.667 0.333
```


- volume of number 4 (LaPmSn4)?
  206.6 Å³ per cell


- Number 10 is which compound?
  La2Pm3Sn3


- Which formula does entry 1 have?
  LaPmSn4